# PrGaPt, optimized geometry, DFT PBE-GGA
data_PrGaPt
_chemical_formula_sum 'Pr8 Ga8 Pt8'
_cell_length_a 4.492
_cell_length_b 14.817
_cell_length_c 7.773
_cell_angle_alpha 90.00
_cell_angle_beta 90.00
_cell_angle_gamma 90.00
_space_group_name_H-M_alt 'P 1'
_space_group_IT_number 1
loop_
_space_group_symop_operation_xyz
'x,y,z'
loop_
_atom_site_label
_atom_site_type_symbol
_atom_site_fract_x
_atom_site_fract_y
_atom_site_fract_z
Pr1 Pr 0.250 0.004 0.200
Pr2 Pr 0.250 0.250 0.290
Pr3 Pr 0.250 0.496 0.200
Pr4 Pr 0.250 0.750 0.290
Pr5 Pr 0.750 0.250 0.710
Pr6 Pr 0.750 0.504 0.800
Pr7 Pr 0.750 0.750 0.710
Pr8 Pr 0.750 0.996 0.800
Ga1 Ga 0.250 0.092 0.581
Ga2 Ga 0.250 0.408 0.581
Ga3 Ga 0.250 0.657 0.915
Ga4 Ga 0.250 0.843 0.915
Ga5 Ga 0.750 0.157 0.085
Ga6 Ga 0.750 0.343 0.085
Ga7 Ga 0.750 0.592 0.419
Ga8 Ga 0.750 0.908 0.419
Pt1 Pt 0.250 0.141 0.907
Pt2 Pt 0.250 0.359 0.907
Pt3 Pt 0.250 0.600 0.583
Pt4 Pt 0.250 0.900 0.583
Pt5 Pt 0.750 0.100 0.417
Pt6 Pt 0.750 0.400 0.417
Pt7 Pt 0.750 0.641 0.093
Pt8 Pt 0.750 0.859 0.093
# - V (Å³ per atom) = 21.6
# - final energy (eV per atom) = -5.6163
# - magnetic moment (μB/f.u.) = 0.00
# - energy relative to the elements (eV/atom) = -1.001